Record 1
This record from the Alexandria database describes a relaxed structure of Pa2BrCl8. The functional is PBE-GGA.

Computed properties:
* formation energy without anion corrections: -1.7832 eV per atom

a = 9.077 Å, b = 7.446 Å, c = 7.446 Å
α = 110.43°, β = 87.65°, γ = 87.65°
Fractional positions:
Pa (0.289, 0.123, 0.123)
Pa (0.711, 0.877, 0.877)
Br (0.000, 0.000, 0.000)
Cl (0.713, 0.097, 0.686)
Cl (0.287, 0.314, 0.903)
Cl (0.578, 0.182, 0.182)
Cl (0.422, 0.818, 0.818)
Cl (0.713, 0.686, 0.097)
Cl (0.287, 0.903, 0.314)
Cl (0.205, 0.410, 0.410)
Cl (0.795, 0.590, 0.590)

=====

Record 2
This record from the Alexandria database describes a relaxed structure of PaBr4Cl. The functional is PBE-GGA.

Computed properties:
* formation energy without anion corrections: -1.3817 eV per atom

a = 5.562 Å, b = 7.398 Å, c = 11.399 Å
α = 108.91°, β = 104.07°, γ = 90.10°
Fractional positions:
Pa (0.079, 0.829, 0.158)
Pa (0.921, 0.171, 0.842)
Br (0.210, 0.679, 0.345)
Br (0.727, 0.878, 0.943)
Br (0.865, 0.834, 0.655)
Br (0.783, 0.435, 0.057)
Br (0.790, 0.321, 0.655)
Br (0.135, 0.166, 0.345)
Br (0.273, 0.122, 0.057)
Br (0.217, 0.565, 0.943)
Cl (0.390, 0.140, 0.780)
Cl (0.610, 0.860, 0.220)

=====

Record 3
This record from the Alexandria database describes a relaxed structure of PaBrCl6. The functional is PBE-GGA.

Computed properties:
* formation energy without anion corrections: -1.2307 eV per atom

a = 7.092 Å, b = 7.092 Å, c = 7.572 Å
α = 105.27°, β = 105.27°, γ = 109.73°
Fractional positions:
Pa (0.500, 0.500, 0.500)
Br (0.000, 0.000, 0.000)
Cl (0.285, 0.285, 0.653)
Cl (0.458, 0.142, 0.250)
Cl (0.715, 0.715, 0.347)
Cl (0.858, 0.542, 0.750)
Cl (0.542, 0.858, 0.750)
Cl (0.142, 0.458, 0.250)

=====

Record 4
This record from the Alexandria database describes a relaxed structure of PaBrCl4. The functional is PBE-GGA.

Computed properties:
* formation energy without anion corrections: -1.7206 eV per atom

a = 12.375 Å, b = 13.684 Å, c = 7.540 Å
α = 90.00°, β = 90.00°, γ = 24.80°
Fractional positions:
Pa (0.000, 0.000, 0.000)
Pa (0.000, 0.500, 0.500)
Br (0.500, 0.500, 0.000)
Br (0.500, 0.000, 0.500)
Cl (0.096, 0.999, 0.707)
Cl (0.904, 0.501, 0.207)
Cl (0.182, 0.497, 0.344)
Cl (0.818, 0.003, 0.844)
Cl (0.904, 0.001, 0.293)
Cl (0.096, 0.499, 0.793)
Cl (0.818, 0.503, 0.656)
Cl (0.182, 0.997, 0.156)

=====

Record 5
This record from the Alexandria database describes a relaxed structure of PaBr6Cl. The functional is PBE-GGA.

Computed properties:
* formation energy without anion corrections: -0.9016 eV per atom

a = 7.432 Å, b = 7.432 Å, c = 8.061 Å
α = 107.31°, β = 107.31°, γ = 112.97°
Fractional positions:
Pa (0.500, 0.500, 0.500)
Br (0.306, 0.306, 0.680)
Br (0.447, 0.109, 0.268)
Br (0.694, 0.694, 0.320)
Br (0.891, 0.553, 0.732)
Br (0.553, 0.891, 0.732)
Br (0.109, 0.447, 0.268)
Cl (0.000, 0.000, 0.000)

=====

Record 6
This record from the Alexandria database describes a relaxed structure of Pa2Br8Cl. The functional is PBE-GGA.

Computed properties:
* formation energy without anion corrections: -1.4626 eV per atom

a = 8.889 Å, b = 7.946 Å, c = 7.946 Å
α = 108.59°, β = 90.44°, γ = 90.44°
Fractional positions:
Pa (0.286, 0.111, 0.111)
Pa (0.714, 0.889, 0.889)
Br (0.718, 0.110, 0.696)
Br (0.282, 0.304, 0.890)
Br (0.600, 0.183, 0.183)
Br (0.400, 0.817, 0.817)
Br (0.718, 0.696, 0.110)
Br (0.282, 0.890, 0.304)
Br (0.210, 0.388, 0.388)
Br (0.790, 0.612, 0.612)
Cl (0.000, 0.000, 0.000)

=====

Record 7
This record from the Alexandria database describes a relaxed structure of PaBr2Cl8. The functional is PBE-GGA.

Computed properties:
* formation energy without anion corrections: -0.9816 eV per atom

a = 7.671 Å, b = 8.752 Å, c = 8.752 Å
α = 48.05°, β = 108.56°, γ = 108.56°
Fractional positions:
Pa (0.000, 0.000, 0.000)
Br (0.477, 0.258, 0.258)
Br (0.523, 0.742, 0.742)
Cl (0.038, 0.141, 0.649)
Cl (0.038, 0.649, 0.141)
Cl (0.962, 0.859, 0.351)
Cl (0.431, 0.595, 0.595)
Cl (0.962, 0.351, 0.859)
Cl (0.372, 0.084, 0.084)
Cl (0.628, 0.916, 0.916)
Cl (0.569, 0.405, 0.405)

=====

Record 8
This record from the Alexandria database describes a relaxed structure of Pa2Br8Cl. The functional is PBE-GGA.

Computed properties:
* formation energy without anion corrections: -1.4328 eV per atom

a = 5.747 Å, b = 10.832 Å, c = 10.832 Å
α = 67.53°, β = 105.32°, γ = 105.32°
Fractional positions:
Pa (0.159, 0.161, 0.161)
Pa (0.841, 0.839, 0.839)
Br (0.851, 0.069, 0.626)
Br (0.149, 0.374, 0.931)
Br (0.649, 0.151, 0.151)
Br (0.351, 0.849, 0.849)
Br (0.851, 0.626, 0.069)
Br (0.149, 0.931, 0.374)
Br (0.315, 0.317, 0.317)
Br (0.685, 0.683, 0.683)
Cl (0.000, 0.000, 0.000)

=====

Record 9
This record from the Alexandria database describes a relaxed structure of PaBr4Cl. The functional is PBE-GGA.

Computed properties:
* formation energy without anion corrections: -1.4787 eV per atom

a = 8.531 Å, b = 8.531 Å, c = 15.063 Å
α = 130.86°, β = 130.86°, γ = 55.83°
Fractional positions:
Pa (0.250, 0.750, 0.250)
Pa (0.750, 0.250, 0.750)
Br (0.053, 0.081, 0.683)
Br (0.419, 0.447, 0.317)
Br (0.581, 0.553, 0.683)
Br (0.081, 0.053, 0.183)
Br (0.919, 0.947, 0.817)
Br (0.553, 0.581, 0.183)
Br (0.447, 0.419, 0.817)
Br (0.947, 0.919, 0.317)
Cl (0.500, 0.000, 0.500)
Cl (0.000, 0.500, 0.000)

=====

Record 10
This record from the Alexandria database describes a relaxed structure of PaBrCl. The functional is PBE-GGA.

Computed properties:
* formation energy without anion corrections: -0.9455 eV per atom

a = 3.445 Å, b = 4.944 Å, c = 4.944 Å
α = 120.00°, β = 90.00°, γ = 90.00°
Fractional positions:
Pa (0.167, 0.667, 0.333)
Br (0.666, 0.333, 0.667)
Cl (0.166, 0.000, 0.000)

=====

Record 11
This record from the Alexandria database describes a relaxed structure of Pa3Br7Cl. The functional is PBE-GGA.

Computed properties:
* formation energy without anion corrections: -1.3065 eV per atom

a = 7.594 Å, b = 7.700 Å, c = 7.700 Å
α = 120.00°, β = 90.00°, γ = 90.00°
Fractional positions:
Pa (0.781, 0.499, 0.501)
Pa (0.781, 0.499, 0.998)
Pa (0.781, 0.002, 0.501)
Br (0.019, 0.162, 0.838)
Br (0.019, 0.162, 0.324)
Br (0.039, 0.667, 0.333)
Br (0.544, 0.838, 0.162)
Br (0.544, 0.324, 0.162)
Br (0.544, 0.838, 0.676)
Br (0.019, 0.676, 0.838)
Cl (0.546, 0.333, 0.667)

=====

Record 12
This record from the Alexandria database describes a relaxed structure of PaBrCl4. The functional is PBE-GGA.

Computed properties:
* formation energy without anion corrections: -1.3504 eV per atom

a = 7.073 Å, b = 7.073 Å, c = 7.158 Å
α = 119.61°, β = 119.61°, γ = 90.00°
Fractional positions:
Pa (0.500, 0.500, 0.000)
Br (0.750, 0.250, 0.500)
Cl (0.347, 0.722, 0.253)
Cl (0.906, 0.531, 0.253)
Cl (0.278, 0.094, 0.747)
Cl (0.469, 0.653, 0.747)

=====

Record 13
This record from the Alexandria database describes a relaxed structure of PaBrCl2. The functional is PBE-GGA.

Computed properties:
* formation energy without anion corrections: -1.5583 eV per atom

a = 3.657 Å, b = 6.891 Å, c = 6.891 Å
α = 62.15°, β = 74.61°, γ = 74.61°
Fractional positions:
Pa (0.500, 0.192, 0.808)
Br (0.000, 0.875, 0.125)
Cl (0.839, 0.497, 0.824)
Cl (0.161, 0.176, 0.503)

=====

Record 14
This record from the Alexandria database describes a relaxed structure of PaBrCl2. The functional is PBE-GGA.

Computed properties:
* formation energy without anion corrections: -1.5333 eV per atom

a = 3.647 Å, b = 7.588 Å, c = 5.787 Å
α = 112.94°, β = 90.00°, γ = 90.00°
Fractional positions:
Pa (0.500, 0.500, 0.250)
Br (0.500, 0.500, 0.750)
Cl (0.000, 0.207, 0.100)
Cl (0.000, 0.793, 0.400)

=====

Record 15
This record from the Alexandria database describes a relaxed structure of PaBrCl. The functional is PBE-GGA.

Computed properties:
* formation energy without anion corrections: -1.2664 eV per atom

a = 3.565 Å, b = 3.565 Å, c = 8.313 Å
α = 95.34°, β = 96.98°, γ = 119.99°
Fractional positions:
Pa (0.980, 0.037, 0.016)
Br (0.508, 0.243, 0.752)
Cl (0.774, 0.487, 0.261)

=====

Record 16
This record from the Alexandria database describes a relaxed structure of Rb2PaBr4Cl2. The functional is PBE-GGA.

Computed properties:
* formation energy without anion corrections: -1.7577 eV per atom

a = 6.619 Å, b = 7.689 Å, c = 7.689 Å
α = 62.35°, β = 82.35°, γ = 82.35°
Fractional positions:
Rb (0.235, 0.667, 0.667)
Rb (0.765, 0.333, 0.333)
Pa (0.500, 0.000, 0.000)
Br (0.299, 0.650, 0.159)
Br (0.701, 0.841, 0.350)
Br (0.701, 0.350, 0.841)
Br (0.299, 0.159, 0.650)
Cl (0.204, 0.159, 0.159)
Cl (0.796, 0.841, 0.841)

=====

Record 17
This record from the Alexandria database describes a relaxed structure of Rb2PaBr2Cl4. The functional is PBE-GGA.

Computed properties:
* formation energy without anion corrections: -1.8686 eV per atom

a = 7.777 Å, b = 7.777 Å, c = 7.777 Å
α = 88.43°, β = 120.91°, γ = 120.91°
Fractional positions:
Rb (0.500, 0.750, 0.250)
Rb (0.500, 0.250, 0.750)
Pa (0.000, 0.000, 0.000)
Br (0.000, 0.747, 0.747)
Br (0.000, 0.253, 0.253)
Cl (0.000, 0.757, 0.243)
Cl (0.514, 0.757, 0.757)
Cl (0.000, 0.243, 0.757)
Cl (0.486, 0.243, 0.243)

=====

Record 18
This record from the Alexandria database describes a relaxed structure of PaSBrCl. The functional is PBE-GGA.

Computed properties:
* formation energy without anion corrections: -1.4447 eV per atom

a = 4.528 Å, b = 4.530 Å, c = 7.733 Å
α = 72.98°, β = 72.98°, γ = 60.02°
Fractional positions:
Pa (0.115, 0.400, 0.371)
S (0.757, 0.042, 0.445)
Br (0.990, 0.275, 0.744)
Cl (0.516, 0.800, 0.167)

=====

Record 19
This record from the Alexandria database describes a relaxed structure of PaSeBrCl. The functional is PBE-GGA.

Computed properties:
* formation energy without anion corrections: -1.4564 eV per atom

a = 3.733 Å, b = 4.363 Å, c = 8.347 Å
α = 105.01°, β = 90.00°, γ = 90.00°
Fractional positions:
Pa (0.500, 0.839, 0.167)
Se (0.000, 0.366, 0.222)
Br (0.000, 0.698, 0.882)
Cl (0.500, 0.993, 0.479)

=====

Record 20
This record from the Alexandria database describes a relaxed structure of PaTeBrCl. The functional is PBE-GGA.

Computed properties:
* formation energy without anion corrections: -1.2144 eV per atom

a = 3.830 Å, b = 4.831 Å, c = 8.720 Å
α = 106.07°, β = 102.69°, γ = 90.00°
Fractional positions:
Pa (0.902, 0.361, 0.804)
Te (0.368, 0.826, 0.736)
Br (0.737, 0.195, 0.474)
Cl (0.528, 0.486, 0.055)

=====

Record 21
This record from the Alexandria database describes a relaxed structure of PaTl2Br2Cl4. The functional is PBE-GGA.

Computed properties:
* formation energy without anion corrections: -1.4397 eV per atom

a = 7.745 Å, b = 7.701 Å, c = 7.701 Å
α = 57.86°, β = 65.97°, γ = 65.97°
Fractional positions:
Pa (0.500, 0.000, 0.000)
Tl (0.287, 0.744, 0.744)
Tl (0.713, 0.256, 0.256)
Br (0.175, 0.216, 0.216)
Br (0.825, 0.784, 0.784)
Cl (0.337, 0.682, 0.177)
Cl (0.663, 0.823, 0.318)
Cl (0.663, 0.318, 0.823)
Cl (0.337, 0.177, 0.682)

=====

Record 22
This record from the Alexandria database describes a relaxed structure of PaTl2Br4Cl2. The functional is PBE-GGA.

Computed properties:
* formation energy without anion corrections: -1.3335 eV per atom

a = 7.494 Å, b = 7.817 Å, c = 7.817 Å
α = 60.98°, β = 67.88°, γ = 67.88°
Fractional positions:
Pa (0.500, 0.000, 0.000)
Tl (0.290, 0.733, 0.733)
Tl (0.710, 0.267, 0.267)
Br (0.319, 0.675, 0.174)
Br (0.681, 0.826, 0.325)
Br (0.681, 0.325, 0.826)
Br (0.319, 0.174, 0.675)
Cl (0.192, 0.195, 0.195)
Cl (0.808, 0.805, 0.805)

=====

Record 23
This record from the Alexandria database describes a relaxed structure of PaTl3Br2Cl6. The functional is PBE-GGA.

Computed properties:
* formation energy without anion corrections: -1.3707 eV per atom

a = 6.178 Å, b = 9.337 Å, c = 9.501 Å
α = 119.43°, β = 90.53°, γ = 90.00°
Fractional positions:
Pa (0.500, 0.000, 0.000)
Tl (0.000, 0.500, 0.000)
Tl (0.500, 0.500, 0.500)
Tl (0.500, 0.000, 0.500)
Br (0.207, 0.675, 0.350)
Br (0.793, 0.325, 0.650)
Cl (0.733, 0.262, 0.133)
Cl (0.267, 0.738, 0.867)
Cl (0.735, 0.873, 0.747)
Cl (0.265, 0.127, 0.253)
Cl (0.267, 0.129, 0.867)
Cl (0.733, 0.871, 0.133)

=====

Record 24
This record from the Alexandria database describes a relaxed structure of Pb2BrCl. The functional is PBE-GGA.

Computed properties:
* formation energy without anion corrections: -0.3885 eV per atom

a = 5.782 Å, b = 5.782 Å, c = 3.549 Å
α = 90.00°, β = 90.00°, γ = 105.84°
Fractional positions:
Pb (0.000, 0.000, 0.000)
Pb (0.500, 0.500, 0.000)
Br (0.500, 0.000, 0.500)
Cl (0.000, 0.500, 0.500)

=====

Record 25
This record from the Alexandria database describes a relaxed structure of Pb2BrCl. The functional is PBE-GGA.

Computed properties:
* formation energy without anion corrections: -0.3932 eV per atom

a = 4.615 Å, b = 4.974 Å, c = 4.974 Å
α = 90.00°, β = 90.00°, γ = 90.00°
Fractional positions:
Pb (0.000, 0.000, 0.000)
Pb (0.000, 0.500, 0.500)
Br (0.500, 0.500, 0.000)
Cl (0.500, 0.000, 0.500)